No. 1
Material: HfNb3V
Method: DFT, PBE
State: optimized geometry

POSCAR file:
```
HfNb3V
1.0
4.681 0.000 0.000
0.000 4.681 0.000
0.000 0.000 4.681
Hf Nb V
1 3 1
direct
0.000 0.000 0.000
0.000 0.500 0.500
0.500 0.000 0.500
0.500 0.500 0.000
0.500 0.500 0.500
```

Values from the calculation:
**SG**: Pm-3m (221)
**Electronic total energy**: -9.08 eV per atom
**Fermi-level density of states**: 1.008 states/eV per atom

---

No. 2
Material: Ce4HgTe3
Method: DFT, PBE
State: optimized geometry

POSCAR file:
```
Ce4HgTe3
1.0
4.549 -6.347 0.000
4.549 6.347 0.000
0.000 0.000 4.409
Ce Hg Te
4 1 3
direct
0.248 0.248 0.500
0.250 0.750 0.000
0.750 0.250 0.000
0.752 0.752 0.500
0.000 0.000 0.000
0.000 0.500 0.500
0.500 0.000 0.500
0.500 0.500 0.000
```

Values from the calculation:
**SG**: Cmmm (65)
**Formation energy without anion corrections**: -1.0504 eV per atom
**Fermi-level density of states**: 3.797 states/eV per atom

---

No. 3
Material: La2YIr
Method: DFT, PBE
State: optimized geometry

POSCAR file:
```
La2YIr
1.0
-4.444 4.444 3.160
4.444 -4.444 3.160
4.444 4.444 -3.160
La Y Ir
4 2 2
direct
0.047 0.625 0.922
0.375 0.297 0.422
0.703 0.125 0.078
0.875 0.953 0.578
0.250 0.750 0.500
0.500 0.500 0.000
0.000 0.000 0.000
0.750 0.250 0.500
```

Values from the calculation:
**SG**: I-42d (122)
**Electronic total energy**: -6.52 eV per atom
**Fermi-level density of states**: 1.437 states/eV per atom

---

No. 4
Material: Ti3AlMo
Method: DFT, PBE
State: optimized geometry

POSCAR file:
```
Ti3AlMo
1.0
6.376 -3.832 0.000
6.376 3.832 0.000
-0.383 0.000 6.813
Ti Al Mo
12 4 4
direct
0.095 0.218 0.071
0.187 0.690 0.598
0.218 0.095 0.571
0.259 0.433 0.935
0.310 0.813 0.902
0.433 0.259 0.435
0.567 0.741 0.565
0.690 0.187 0.098
0.741 0.567 0.065
0.782 0.905 0.429
0.813 0.310 0.402
0.905 0.782 0.929
0.088 0.912 0.250
0.424 0.576 0.250
0.576 0.424 0.750
0.912 0.088 0.750
0.059 0.534 0.320
0.466 0.941 0.180
0.534 0.059 0.820
0.941 0.466 0.680
```

Values from the calculation:
**SG**: C2/c (15)
**Electronic total energy**: -7.69 eV per atom
**Fermi-level density of states**: 1.175 states/eV per atom

---

No. 5
Material: CeTlPO5
Method: DFT, PBE
State: optimized geometry

POSCAR file:
```
CeTlPO5
1.0
3.713 -4.937 0.000
3.713 4.937 0.000
-3.497 0.000 7.244
Ce Tl P O
2 2 2 10
direct
0.000 0.000 0.000
0.000 0.000 0.500
0.334 0.666 0.750
0.666 0.334 0.250
0.312 0.688 0.250
0.688 0.312 0.750
0.065 0.935 0.750
0.148 0.708 0.368
0.229 0.420 0.122
0.292 0.852 0.132
0.420 0.229 0.622
0.580 0.771 0.378
0.708 0.148 0.868
0.771 0.580 0.878
0.852 0.292 0.632
0.935 0.065 0.250
```

Values from the calculation:
**SG**: C2/c (15)
**Formation energy without anion corrections**: -2.4483 eV per atom

---

No. 6
Material: Na3AgHg2
Method: DFT, PBE
State: optimized geometry

POSCAR file:
```
Na3AgHg2
1.0
2.454 -7.254 0.000
2.454 7.254 0.000
0.000 0.000 8.413
Na Ag Hg
6 2 4
direct
0.000 0.000 0.234
0.000 0.000 0.766
0.332 0.668 0.242
0.332 0.668 0.758
0.668 0.332 0.242
0.668 0.332 0.758
0.174 0.826 0.000
0.826 0.174 0.000
0.161 0.839 0.500
0.500 0.500 0.000
0.500 0.500 0.500
0.839 0.161 0.500
```

Values from the calculation:
**SG**: Cmmm (65)
**Electronic total energy**: -1.39 eV per atom
**Fermi-level density of states**: 0.331 states/eV per atom

---

No. 7
Material: SbOsCl
Method: DFT, PBE
State: optimized geometry

POSCAR file:
```
SbOsCl
1.0
-1.557 1.557 7.000
1.557 -1.557 7.000
1.557 1.557 -7.000
Sb Os Cl
1 1 1
direct
0.000 0.000 0.000
0.620 0.620 0.000
0.240 0.240 0.000
```

Values from the calculation:
**SG**: I4mm (107)
**Formation energy without anion corrections**: 0.4963 eV per atom
**Fermi-level density of states**: 1.064 states/eV per atom

---

No. 8
Material: RbLa2Pt
Method: DFT, PBE
State: optimized geometry

POSCAR file:
```
RbLa2Pt
1.0
-4.619 4.619 3.773
4.619 -4.619 3.773
4.619 4.619 -3.773
Rb La Pt
2 4 2
direct
0.000 0.000 0.000
0.750 0.250 0.500
0.226 0.625 0.101
0.375 0.476 0.601
0.524 0.125 0.899
0.875 0.774 0.399
0.250 0.750 0.500
0.500 0.500 0.000
```

Values from the calculation:
**SG**: I-42d (122)
**Electronic total energy**: -4.35 eV per atom
**Fermi-level density of states**: 1.333 states/eV per atom

---

No. 9
Material: Cu2MoRh
Method: DFT, PBE
State: optimized geometry

POSCAR file:
```
Cu2MoRh
1.0
2.717 0.000 0.000
0.000 3.796 0.000
-0.022 0.000 5.313
Cu Mo Rh
2 1 1
direct
0.000 0.000 0.000
0.500 0.500 0.219
0.001 0.000 0.494
0.502 0.500 0.726
```

Values from the calculation:
**SG**: Pm (6)
**Electronic total energy**: -6.53 eV per atom
**Fermi-level density of states**: 1.029 states/eV per atom

---

No. 10
Material: TmIr4Pb
Method: DFT, PBE
State: optimized geometry

POSCAR file:
```
TmIr4Pb
1.0
0.000 3.791 3.791
3.791 0.000 3.791
3.791 3.791 0.000
Tm Ir Pb
1 4 1
direct
0.000 0.000 0.000
0.375 0.375 0.375
0.375 0.375 0.874
0.375 0.874 0.375
0.874 0.375 0.375
0.750 0.750 0.750
```

Values from the calculation:
**SG**: F-43m (216)
**Electronic total energy**: -7.54 eV per atom
**Fermi-level density of states**: 1.481 states/eV per atom

---

No. 11
Material: CaPSe
Method: DFT, PBE
State: optimized geometry

POSCAR file:
```
CaPSe
1.0
4.526 0.000 0.000
-2.263 3.920 0.000
0.000 0.000 3.780
Ca P Se
1 1 1
direct
0.000 0.000 0.000
0.333 0.667 0.500
0.667 0.333 0.500
```

Values from the calculation:
**SG**: P-6m2 (187)
**Formation energy without anion corrections**: -0.5472 eV per atom
**Fermi-level density of states**: 0.567 states/eV per atom

---

No. 12
Material: BeCoW2
Method: DFT, PBE
State: optimized geometry

POSCAR file:
```
BeCoW2
1.0
1.894 -1.903 0.000
1.894 1.903 0.000
0.000 0.000 7.086
Be Co W
1 1 2
direct
0.000 0.000 0.000
0.000 0.000 0.500
0.500 0.500 0.241
0.500 0.500 0.759
```

Values from the calculation:
**SG**: Cmmm (65)
**Electronic total energy**: -9.09 eV per atom
**Fermi-level density of states**: 0.636 states/eV per atom